(1)
Nd8Sm3Pu: relaxed, PBE.

Lattice parameters (Å, degrees): 8.511 8.511 8.511 93.99 117.72 117.72
Site moments in Bohr magnetons follow the coordinates.
Atoms (fractional coordinates):
Nd 0.471 0.213 0.213  0.07
Nd 0.529 0.742 0.742  0.07
Nd 0.000 0.787 0.258  0.07
Nd 0.000 0.258 0.787  0.07
Nd 0.248 0.361 0.361  -0.04
Nd 0.752 0.113 0.113  -0.04
Nd 0.000 0.639 0.887  -0.04
Nd 0.000 0.887 0.639  -0.04
Sm 0.500 0.750 0.250  -0.18
Sm 0.500 0.250 0.750  -0.18
Sm 0.000 0.500 0.500  -0.07
Pu 0.000 0.000 0.000  5.56

## Properties
Electronic total energy in eV/f.u.: -60.4
Symmetry: I-42m, No. 121
Energy relative to the elements in eV per atom: 0.52
Size of the total moment in μB/cell: 4.9

***

(2)
AlSbN2: relaxed, PBE.

Lattice parameters (Å, degrees): 6.264 6.264 6.264 28.90 28.90 28.90
Atoms (fractional coordinates):
Sb 0.000 0.000 0.000
Al 0.500 0.500 0.500
N 0.887 0.887 0.887
N 0.113 0.113 0.113

## Properties
Electronic total energy in eV/f.u.: -24.7
Symmetry: R-3m, No. 166
Uncorrected formation energy in eV per atom: -0.057
Size of the total moment in μB/cell: 0.0

***

(3)
Pa5As4S: relaxed, PBE.

Lattice parameters (Å, degrees): 5.745 7.027 7.027 80.38 65.87 65.87
Atoms (fractional coordinates):
Pa 0.903 0.389 0.808
Pa 0.291 0.808 0.611
Pa 0.711 0.192 0.389
Pa 0.099 0.611 0.192
Pa 0.501 0.000 0.000
As 0.405 0.398 0.793
As 0.804 0.793 0.602
As 0.198 0.207 0.398
As 0.597 0.602 0.207
S 0.001 0.000 0.000

## Properties
Electronic total energy in eV/f.u.: -81.8
Symmetry: I4/m, No. 87
Uncorrected formation energy in eV per atom: -1.160
Size of the total moment in μB/cell: 0.0

***

(4)
LiMg2Pt: relaxed, PBE.

Lattice parameters (Å, degrees): 4.085 4.085 9.581 77.69 77.69 90.00
Atoms (fractional coordinates):
Mg 0.641 0.125 0.250
Mg 0.109 0.625 0.250
Mg 0.375 0.359 0.750
Mg 0.875 0.891 0.750
Pt 0.000 0.000 0.000
Pt 0.750 0.250 0.500
Li 0.500 0.500 0.000
Li 0.250 0.750 0.500

## Properties
Electronic total energy in eV/f.u.: -11.7
Symmetry: I-42d, No. 122
Energy relative to the elements in eV per atom: -0.15
Size of the total moment in μB/cell: 0.0